(1)
Entry from the Alexandria database: a relaxed structure of Be5Te (GGA-PBE).

Calculated values
E_form (uncorrected): 5.87 kcal/mol of atoms
V: 165.57 Å³/cell
symmetry: No. 8

Cell lengths 11.124, 3.687, 4.236 Å; angles 90.00, 107.66, 90.00 degrees
Atoms (fractional coordinates):
Be  0.000  0.000  0.000
Be  0.002  0.000  0.506
Be  0.006  0.500  0.256
Be  0.092  0.500  0.832
Be  0.408  0.000  0.677
Be  0.500  0.500  0.000
Be  0.502  0.500  0.506
Be  0.506  0.000  0.256
Be  0.592  0.000  0.832
Be  0.908  0.500  0.677
Te  0.256  0.500  0.549
Te  0.756  0.000  0.549

---

(2)
Entry from the Alexandria database: a relaxed structure of Ac6GeTe5 (GGA-PBE).

Calculated values
E_form (uncorrected): -33.07 kcal/mol of atoms
V: 447.95 Å³/cell
symmetry: No. 12

Cell lengths 8.181, 8.181, 8.186 Å; angles 99.56, 99.56, 119.92 degrees
Atoms (fractional coordinates):
Ac  0.078  0.393  0.736
Ac  0.233  0.233  0.259
Ac  0.393  0.078  0.736
Ac  0.607  0.922  0.264
Ac  0.767  0.767  0.741
Ac  0.922  0.607  0.264
Ge  0.000  0.000  0.500
Te  0.173  0.827  0.000
Te  0.335  0.665  0.500
Te  0.500  0.500  0.000
Te  0.665  0.335  0.500
Te  0.827  0.173  0.000

---

(3)
Entry from the Alexandria database: a relaxed structure of Sr2Hg15Pb2 (GGA-PBE).

Calculated values
formation enthalpy at 0 K: -0.1442 eV per atom
V: 543.02 Å³/cell
symmetry: No. 166

Cell lengths 8.730, 8.730, 8.730 Å; angles 67.20, 67.20, 67.20 degrees
Atoms (fractional coordinates):
Sr  0.209  0.209  0.209
Sr  0.791  0.791  0.791
Hg  0.000  0.500  0.500
Hg  0.081  0.081  0.686
Hg  0.081  0.686  0.081
Hg  0.197  0.500  0.803
Hg  0.197  0.803  0.500
Hg  0.314  0.919  0.919
Hg  0.500  0.000  0.500
Hg  0.500  0.197  0.803
Hg  0.500  0.500  0.000
Hg  0.500  0.803  0.197
Hg  0.686  0.081  0.081
Hg  0.803  0.197  0.500
Hg  0.803  0.500  0.197
Hg  0.919  0.314  0.919
Hg  0.919  0.919  0.314
Pb  0.401  0.401  0.401
Pb  0.599  0.599  0.599

---

(4)
Entry from the Alexandria database: a relaxed structure of K2CeMgTe4 (GGA-PBE).

Calculated values
E_form (uncorrected): -25.40 kcal/mol of atoms
V: 285.14 Å³/cell
symmetry: No. 10

Cell lengths 7.692, 4.522, 8.622 Å; angles 90.00, 108.05, 90.00 degrees
Atoms (fractional coordinates):
K  0.000  0.000  0.000
K  0.500  0.500  0.000
Ce  0.000  0.500  0.500
Mg  0.500  0.000  0.500
Te  0.238  0.000  0.709
Te  0.272  0.500  0.302
Te  0.728  0.500  0.698
Te  0.762  0.000  0.291

---

(5)
Entry from the Alexandria database: a relaxed structure of Ac3InO (GGA-PBE).

Calculated values
E_form (uncorrected): -28.83 kcal/mol of atoms
V: 149.95 Å³/cell
symmetry: No. 221

Cell lengths 5.313, 5.313, 5.313 Å; angles 90.00, 90.00, 90.00 degrees
Atoms (fractional coordinates):
Ac  0.000  0.000  0.500
Ac  0.000  0.500  0.000
Ac  0.500  0.000  0.000
In  0.500  0.500  0.500
O  0.000  0.000  0.000

---

(6)
Entry from the Alexandria database: a relaxed structure of Mn3TlCo (GGA-PBE).

Calculated values
formation enthalpy at 0 K: 0.7717 eV per atom
V: 96.04 Å³/cell
symmetry: No. 221

Cell lengths 4.580, 4.580, 4.580 Å; angles 90.00, 90.00, 90.00 degrees
Atoms (fractional coordinates):
Mn  0.000  0.000  0.500
Mn  0.000  0.500  0.000
Mn  0.500  0.000  0.000
Tl  0.500  0.500  0.500
Co  0.000  0.000  0.000

---

(7)
Entry from the Alexandria database: a relaxed structure of PmGaAg2 (GGA-PBE).

Calculated values
formation enthalpy at 0 K: -0.1420 eV per atom
V: 88.70 Å³/cell
symmetry: No. 123

Cell lengths 3.713, 3.713, 6.434 Å; angles 90.00, 90.00, 90.00 degrees
Atoms (fractional coordinates):
Pm  0.000  0.000  0.000
Ga  0.000  0.000  0.500
Ag  0.500  0.500  0.273
Ag  0.500  0.500  0.727

---

(8)
Entry from the Alexandria database: a relaxed structure of BeFe2P (GGA-PBE).

Calculated values
formation enthalpy at 0 K: -0.2514 eV per atom
V: 77.64 Å³/cell
symmetry: No. 8

Cell lengths 8.042, 2.632, 3.849 Å; angles 90.00, 107.59, 90.00 degrees
Atoms (fractional coordinates):
Be  0.000  0.000  0.000
Be  0.500  0.500  0.000
Fe  0.005  0.500  0.505
Fe  0.246  0.500  0.119
Fe  0.505  0.000  0.505
Fe  0.746  0.000  0.119
P  0.247  0.000  0.632
P  0.747  0.500  0.632

---

(9)
Entry from the Alexandria database: a relaxed structure of MgCrMo (GGA-PBE).

Calculated values
formation enthalpy at 0 K: 0.3085 eV per atom
V: 96.46 Å³/cell
symmetry: No. 107

Cell lengths 3.149, 3.149, 9.729 Å; angles 90.00, 90.00, 90.00 degrees
Atoms (fractional coordinates):
Mg  0.000  0.000  0.000
Mg  0.500  0.500  0.500
Cr  0.000  0.000  0.690
Cr  0.500  0.500  0.190
Mo  0.000  0.000  0.301
Mo  0.500  0.500  0.801

---

(10)
Entry from the Alexandria database: a relaxed structure of Nd2Dy6Ho3 (GGA-PBE).

Calculated values
formation enthalpy at 0 K: 0.1814 eV per atom
V: 372.39 Å³/cell
symmetry: No. 12

Cell lengths 6.112, 6.112, 11.700 Å; angles 95.05, 95.05, 120.07 degrees
Atoms (fractional coordinates):
Nd  0.167  0.833  0.000
Nd  0.833  0.167  0.000
Dy  0.082  0.416  0.747
Dy  0.251  0.251  0.253
Dy  0.416  0.082  0.747
Dy  0.584  0.918  0.253
Dy  0.749  0.749  0.747
Dy  0.918  0.584  0.253
Ho  0.000  0.000  0.500
Ho  0.335  0.665  0.500
Ho  0.665  0.335  0.500

---

(11)
Entry from the Alexandria database: a relaxed structure of NaInHPt2 (GGA-PBE).

Calculated values
V: 96.68 Å³/cell
energy: -3.4468 eV per atom
symmetry: No. 123

Cell lengths 5.270, 5.270, 3.481 Å; angles 90.00, 90.00, 90.00 degrees
Atoms (fractional coordinates):
Na  0.000  0.000  0.000
In  0.500  0.500  0.500
H  0.500  0.500  0.000
Pt  0.000  0.500  0.500
Pt  0.500  0.000  0.500